Li3Ag3Pb2 | PBE-GGA | optimized geometry

Symmetry = No. 160
Raw total energy = -2.8999 eV per atom
Size of the total moment = 0.00 μB per cell

extended XYZ file:
```
8
Lattice="4.615 0.000 1.391 2.098 4.111 1.391 0.007 0.004 8.329" Properties=species:S:1:pos:R:3 pbc="T T T"
Li 1.668 1.022 2.816
Li 5.051 3.093 8.296
Li 4.210 2.578 2.733
Ag 0.843 0.516 5.556
Ag 5.883 3.602 5.537
Ag 2.504 1.533 8.395
Pb 6.709 4.108 2.795
Pb 3.365 2.060 5.539
```